No. 1
## ScAsRuRh2 (PBE)

Data for an optimized crystal structure of ScAsRuRh2.

Geometry as CIF:
```
data_ScAsRuRh2
_space_group_name_H-M_alt 'P 4/m m m'
_space_group_IT_number 123
_space_group_name_Hall '-P 4 2'
_cell_length_a 4.7207
_cell_length_b 4.7207
_cell_length_c 4.6221
_cell_angle_alpha 90.00
_cell_angle_beta 90.00
_cell_angle_gamma 90.00
loop_
_atom_site_label
_atom_site_fract_x
_atom_site_fract_y
_atom_site_fract_z
Sc1 0.0000 0.0000 0.0000
As1 0.5000 0.5000 0.0000
Ru1 0.5000 0.5000 0.5000
Rh1 0.0000 0.5000 0.5000
```

## Properties
Mass density   6.9 g/cm3
Energy relative to the elements   0.519 eV/atom

=====

No. 2
## MnNb4S8 (PBE)

Data for an optimized crystal structure of MnNb4S8.

Geometry as CIF:
```
data_MnNb4S8
_space_group_name_H-M_alt 'C 1 2/m 1'
_space_group_IT_number 12
_space_group_name_Hall '-C 2y'
_cell_length_a 11.7712
_cell_length_b 6.9069
_cell_length_c 8.2554
_cell_angle_alpha 90.00
_cell_angle_beta 133.65
_cell_angle_gamma 90.00
loop_
_atom_site_label
_atom_site_fract_x
_atom_site_fract_y
_atom_site_fract_z
Mn1 0.0000 0.0000 0.0000
Nb1 0.0000 0.2897 0.5000
Nb2 0.2318 0.5000 0.4915
S1 0.0275 0.0000 0.7267
S2 0.0551 0.5000 0.7868
S3 0.2076 0.2503 0.2404
```

## Properties
Energy relative to the elements, uncorrected   -0.9733 eV per atom
Mass density   4.7 g/cm3
ΔE to the lowest computed polymorph   0.107 eV per atom

=====

No. 3
## Ba3In2Rh2 (PBE)

Data for an optimized crystal structure of Ba3In2Rh2.

Geometry as CIF:
```
data_Ba3In2Rh2
_space_group_name_H-M_alt 'P b c m'
_space_group_IT_number 57
_space_group_name_Hall '-P 2c 2b'
_cell_length_a 6.5227
_cell_length_b 8.9164
_cell_length_c 14.9314
_cell_angle_alpha 90.00
_cell_angle_beta 90.00
_cell_angle_gamma 90.00
loop_
_atom_site_label
_atom_site_fract_x
_atom_site_fract_y
_atom_site_fract_z
Ba1 0.1368 0.2439 0.2500
Ba2 0.3452 0.5979 0.5919
In1 0.1121 0.2500 0.0000
In2 0.3324 0.5946 0.2500
Rh1 0.1279 0.5306 0.0904
```

## Properties
Mass density   6.5 g/cm3
Energy relative to the elements   -0.365 eV/atom

=====

No. 4
## ScTe2Pb (PBE)

Data for an optimized crystal structure of ScTe2Pb.

Geometry as CIF:
```
data_ScTe2Pb
_space_group_name_H-M_alt 'P m m 2'
_space_group_IT_number 25
_space_group_name_Hall 'P 2 -2'
_cell_length_a 4.4057
_cell_length_b 4.4590
_cell_length_c 6.2242
_cell_angle_alpha 90.00
_cell_angle_beta 90.00
_cell_angle_gamma 90.00
loop_
_atom_site_label
_atom_site_fract_x
_atom_site_fract_y
_atom_site_fract_z
Sc1 0.0000 0.0000 0.0000
Te1 0.0000 0.0000 0.4996
Te2 0.5000 0.5000 0.0002
Pb1 0.5000 0.5000 0.5006
```

## Properties
Energy relative to the elements, uncorrected   -0.6034 eV per atom
Mass density   6.9 g/cm3

=====

No. 5
## Li2CrSnH8 (PBE)

Data for an optimized crystal structure of Li2CrSnH8.

Geometry as CIF:
```
data_Li2CrSnH8
_space_group_name_H-M_alt 'P 1 2/m 1'
_space_group_IT_number 10
_space_group_name_Hall '-P 2y'
_cell_length_a 4.7955
_cell_length_b 3.1804
_cell_length_c 6.1235
_cell_angle_alpha 90.00
_cell_angle_beta 94.61
_cell_angle_gamma 90.00
loop_
_atom_site_label
_atom_site_fract_x
_atom_site_fract_y
_atom_site_fract_z
Li1 0.0212 0.0000 0.2880
Cr1 0.5000 0.5000 0.5000
Sn1 0.5000 0.5000 0.0000
H1 0.2214 0.5000 0.6489
H2 0.2274 0.0000 0.9836
H3 0.2337 0.5000 0.3015
H4 0.3482 0.0000 0.5581
```

## Properties
Mass density   3.4 g/cm3

=====

No. 6
## Cs2InRuO6 (PBE)

Data for an optimized crystal structure of Cs2InRuO6.

Geometry as CIF:
```
data_Cs2InRuO6
_space_group_name_H-M_alt 'P -3 m 1'
_space_group_IT_number 164
_space_group_name_Hall '-P 3 2"'
_cell_length_a 6.5514
_cell_length_b 6.5514
_cell_length_c 5.5900
_cell_angle_alpha 90.00
_cell_angle_beta 90.00
_cell_angle_gamma 120.00
loop_
_atom_site_label
_atom_site_fract_x
_atom_site_fract_y
_atom_site_fract_z
Cs1 0.3333 0.6667 0.3130
In1 0.0000 0.0000 0.0000
Ru1 0.0000 0.0000 0.5000
O1 0.1347 0.2694 0.7089
```

## Properties
Energy relative to the elements, uncorrected   -1.0948 eV per atom
Mass density   4.6 g/cm3

=====

Number 1: E_tot -0.2379 hartree per atom. Number 2: E_tot -0.2689 hartree per atom. Number 3: E_tot -0.1496 hartree per atom. Number 4: E_tot -0.1721 hartree per atom. Number 5: E_tot -0.1329 hartree per atom. Number 6: E_tot -0.2000 hartree per atom.